Pm9TmTl2 | PBE-GGA | optimized geometry

extended XYZ file:
```
12
Lattice="-0.4875 4.9055 -0.6710 -1.4236 -0.7847 -4.7021 -14.5581 -0.8251 4.5452" Properties=species:S:1:pos:R:3 pbc="T T T"
Pm -7.9908 -0.8049 -0.0784
Pm -7.5228 2.0402 1.9371
Pm -0.9556 2.0604 -2.6866
Pm -2.7361 2.3115 0.4426
Pm -12.7776 -1.0762 1.4161
Pm -12.3095 1.7689 3.4316
Pm -10.6271 1.5123 0.3330
Pm -3.2041 -0.5336 -1.5729
Pm -5.8421 1.7834 -1.1609
Tl -4.9411 -0.2800 1.5427
Tl -9.6170 -0.5451 3.0026
Tm 0.0000 0.0000 0.0000
```

Values from the calculation:
ΔH_f (0 K) = -1.5 eV/f.u.
size of the total moment = 0.0 Bohr magnetons per cell
crystal system = tetragonal
D(E_F) = 15.423 states/eV per cell